Here is SnCl3F6 after structural relaxation from Alexandria via LeMat-Bulk. Energies are from PBE-GGA.

```
SnCl3F6
1.0
6.379 0.000 0.000
-3.189 5.263 -0.856
0.000 -0.075 5.199
Cl F Sn
3 6 1
Cartesian
3.189 3.477 0.244
0.000 1.711 4.099
0.000 0.000 0.000
4.647 1.102 1.806
-1.457 4.086 2.537
1.732 1.102 1.806
3.189 1.132 4.229
0.000 4.056 0.115
1.457 4.086 2.537
3.189 -0.037 2.599
```

Magnetic moment   0.103 μB/atom
Crystal system   monoclinic
Formation energy without anion corrections   -1118 meV/atom
E_tot   -3.195 eV per atom
Symmetry   C2/m, No. 12


Here is NdTaAl after structural relaxation from Alexandria via LeMat-Bulk. Energies are from PBE-GGA.

```
NdTaAl
1.0
4.096 0.000 0.000
0.000 4.096 0.000
0.000 0.000 8.601
Ta Nd Al
2 2 2
Cartesian
0.000 0.000 4.301
2.048 2.048 4.301
2.048 0.000 1.341
0.000 2.048 7.261
0.000 2.048 2.378
2.048 0.000 6.224
```

Formation energy from the elements   -121 meV/atom
Magnetic moment   0.000 μB/atom
Crystal system   tetragonal
E_tot   -6.908 eV per atom
Symmetry   P4/nmm, No. 129


Here is SmCrSe3 after structural relaxation from Alexandria via LeMat-Bulk. Energies are from PBE-GGA.

```
SmCrSe3
1.0
3.819 0.000 0.000
0.000 7.263 0.125
0.000 -1.463 7.856
Cr Se Sm
2 6 2
Cartesian
2.864 -0.058 4.850
0.955 5.859 3.131
2.865 0.108 2.484
0.955 1.700 4.640
0.955 5.693 5.497
0.955 5.227 0.608
2.865 4.100 3.341
2.865 0.573 7.373
0.955 2.510 1.628
2.865 3.291 6.352
```

Magnetic moment   0.203 μB/atom
Crystal system   monoclinic
Formation energy without anion corrections   -1026 meV/atom
E_tot   -5.985 eV per atom
Symmetry   P2_1/m, No. 11


Here is SbRuCl2 after structural relaxation from Alexandria via LeMat-Bulk. Energies are from PBE-GGA.

```
SbRuCl2
1.0
-1.553 4.757 0.597
-4.787 -1.503 -0.473
-0.172 -0.456 3.191
Ru Cl Sb
1 2 1
Cartesian
-0.862 2.150 1.894
0.000 0.000 0.000
-3.170 1.627 0.062
-2.479 -0.980 1.359
```

Energy relative to the lowest polymorph listed for this composition   880 meV per atom
Magnetic moment   0.573 μB/atom
Crystal system   tetragonal
Formation energy without anion corrections   704 meV/atom
E_tot   -3.569 eV per atom
Symmetry   P4/mmm, No. 123


Here is TlGa2AgSe4 after structural relaxation from Alexandria via LeMat-Bulk. Energies are from PBE-GGA.

```
TlGa2AgSe4
1.0
-3.343 6.763 3.061
-4.101 -0.205 7.030
7.126 -2.506 -3.037
Ag Ga Se Tl
1 2 4 1
Cartesian
0.000 0.000 0.000
0.031 3.768 2.535
-0.348 0.284 4.519
-0.755 2.727 4.643
-5.036 2.350 7.630
-4.621 6.158 5.461
2.650 -0.624 -0.589
-3.722 3.279 5.046
```

Magnetic moment   0.000 μB/atom
Crystal system   tetragonal
Formation energy without anion corrections   -388 meV/atom
E_tot   -3.539 eV per atom
Symmetry   I-42m, No. 121


Here is BC2 after structural relaxation from Alexandria via LeMat-Bulk. Energies are from PBE-GGA.

```
BC2
1.0
2.521 0.000 0.000
0.000 4.723 0.049
0.000 0.068 6.409
C B
8 4
Cartesian
1.261 2.391 1.611
0.000 3.186 4.333
1.261 2.349 0.040
0.000 1.622 3.728
0.000 1.687 2.162
1.261 3.968 3.841
1.261 0.840 4.220
0.000 3.121 5.899
0.000 4.551 6.454
0.000 0.256 1.607
1.261 0.968 5.845
1.261 3.840 2.216
```

Energy relative to the lowest polymorph listed for this composition   161 meV per atom
Formation energy from the elements   401 meV/atom
Magnetic moment   0.000 μB/atom
Crystal system   monoclinic
E_tot   -7.974 eV per atom
Symmetry   P2/m, No. 10